Record 1
K2TaOs: relaxed, PBE.

POSCAR file:
```
K2TaOs
1.0
10.7468 0.0187 0.1335
10.2938 3.0875 0.1335
0.7363 0.1087 4.0887
K Os Ta
2 1 1
Cartesian
12.9470 1.9113 1.7727
18.9822 2.8023 0.6721
5.4442 0.8037 1.0889
16.3327 2.4112 3.2668
```

For the raw total energy, the calculation gives -22.6 eV per formula unit. As for the space-group type: C2/m (12). For the density of states at the Fermi level, the calculation gives 4.0 states/eV per cell. As for the total magnetic moment: 0.062 μB/atom. The offset from the most stable computed form comes out at 70 meV/atom.

---

Record 2
Zn2TeBr: relaxed, PBE.

POSCAR file:
```
Zn2TeBr
1.0
3.6684 0.0000 0.0000
0.0000 5.8374 -0.0250
0.0000 -0.4160 5.4465
Zn Br Te
2 1 1
Cartesian
0.0000 3.2810 2.1473
0.0000 5.2670 0.5383
1.8342 1.3553 1.3554
1.8342 4.0660 4.0661
```

For the raw total energy, the calculation gives -7.8 eV per formula unit. As for the space-group type: P2/m (10). As for the energy relative to the elements, uncorrected: -0.12 eV per atom. For the density of states at the Fermi level, the calculation gives 1.5 states/eV per cell. As for the total magnetic moment: 0.000 μB/atom. The offset from the most stable computed form comes out at 157 meV/atom.

---

Record 3
Pu4TcGe3: relaxed, PBE.

POSCAR file:
```
Pu4TcGe3
1.0
-2.1898 2.9916 -2.5243
-0.7638 -3.1639 -3.0870
-6.6692 -1.8712 3.5679
Ge Pu Tc
3 4 1
Cartesian
-4.6096 0.5097 0.6182
-5.0021 -1.4035 2.6760
-6.8710 -3.4026 1.9280
-7.6303 -0.3379 2.2341
-3.8498 -2.5550 0.3117
-1.6674 -0.4678 0.8920
-3.1443 -0.5540 -1.9136
-6.4786 -1.4895 -0.1298
```

For the raw total energy, the calculation gives -82.0 eV per formula unit. As for the space-group type: P-4m2 (115). For the density of states at the Fermi level, the calculation gives 21.4 states/eV per cell. As for the total magnetic moment: 1.223 μB/atom. The offset from the most stable computed form comes out at 348 meV/atom.

---

Record 4
TbSmZnAg: relaxed, PBE.

POSCAR file:
```
TbSmZnAg
1.0
5.1638 0.0000 0.0000
2.5819 4.4719 0.0000
2.5819 1.4906 4.2162
Sm Ag Zn Tb
1 1 1 1
Cartesian
5.1638 2.9813 2.1081
7.7456 4.4719 3.1621
2.5819 1.4906 1.0540
0.0000 0.0000 0.0000
```

For the raw total energy, the calculation gives -14.7 eV per formula unit. As for the space-group type: F-43m (216). For the density of states at the Fermi level, the calculation gives 2.9 states/eV per cell. As for the total magnetic moment: 0.000 μB/atom. The offset from the most stable computed form comes out at 16 meV/atom.

---

Repeat the third record exactly.
Pu4TcGe3: relaxed, PBE.

POSCAR file:
```
Pu4TcGe3
1.0
-2.1898 2.9916 -2.5243
-0.7638 -3.1639 -3.0870
-6.6692 -1.8712 3.5679
Ge Pu Tc
3 4 1
Cartesian
-4.6096 0.5097 0.6182
-5.0021 -1.4035 2.6760
-6.8710 -3.4026 1.9280
-7.6303 -0.3379 2.2341
-3.8498 -2.5550 0.3117
-1.6674 -0.4678 0.8920
-3.1443 -0.5540 -1.9136
-6.4786 -1.4895 -0.1298
```

For the raw total energy, the calculation gives -82.0 eV per formula unit. As for the space-group type: P-4m2 (115). For the density of states at the Fermi level, the calculation gives 21.4 states/eV per cell. As for the total magnetic moment: 1.223 μB/atom. The offset from the most stable computed form comes out at 348 meV/atom.

---

Which formula does entry 4 have? TbSmZnAg